Entry 1:
The following is a GGA-PBE calculation of a geometry-optimized SrPm2Hg2 structure, from Alexandria.

Values from the calculation:
E_tot: -2.66 eV/atom

The structure in CIF format:
```
data_SrPm2Hg2
_chemical_formula_sum 'Sr2 Pm4 Hg4'
_cell_length_a 3.928
_cell_length_b 21.374
_cell_length_c 3.829
_cell_angle_alpha 90.00
_cell_angle_beta 90.00
_cell_angle_gamma 90.00
_symmetry_space_group_name_H-M 'C m m m'
_symmetry_Int_Tables_number 65
_symmetry_space_group_name_Hall '-C 2 2'
loop_
_atom_site_label
_atom_site_type_symbol
_atom_site_fract_x
_atom_site_fract_y
_atom_site_fract_z
_atom_site_occupancy
Sr1 Sr 0.000 0.000 0.000 1
Pm1 Pm 0.000 0.178 0.000 1
Hg1 Hg 0.000 0.398 0.500 1
```

=====

Entry 2:
The following is a GGA-PBE calculation of a geometry-optimized Sm4Y5In structure, from Alexandria.

Values from the calculation:
E_tot: -5.48 eV/atom
energy above the lowest structure with this stoichiometry: 0.0000 eV per atom

The structure in CIF format:
```
data_Sm4Y5In
_chemical_formula_sum 'Sm4 Y5 In1'
_cell_length_a 3.605
_cell_length_b 3.605
_cell_length_c 24.563
_cell_angle_alpha 90.00
_cell_angle_beta 90.00
_cell_angle_gamma 90.00
_symmetry_space_group_name_H-M 'P 4/m m m'
_symmetry_Int_Tables_number 123
_symmetry_space_group_name_Hall '-P 4 2'
loop_
_atom_site_label
_atom_site_type_symbol
_atom_site_fract_x
_atom_site_fract_y
_atom_site_fract_z
_atom_site_occupancy
Sm1 Sm 0.000 0.000 0.103 1
Sm2 Sm 0.000 0.000 0.312 1
Y1 Y 0.500 0.500 0.000 1
Y2 Y 0.500 0.500 0.207 1
Y3 Y 0.500 0.500 0.416 1
In1 In 0.000 0.000 0.500 1
```

=====

Entry 3:
The following is a GGA-PBE calculation of a geometry-optimized Al2InCu2 structure, from Alexandria.

Values from the calculation:
E_tot: -3.67 eV/atom
energy above the lowest structure with this stoichiometry: 0.0048 eV per atom

The structure in CIF format:
```
data_Al2InCu2
_chemical_formula_sum 'Al4 In2 Cu4'
_cell_length_a 3.858
_cell_length_b 3.858
_cell_length_c 11.438
_cell_angle_alpha 90.00
_cell_angle_beta 90.00
_cell_angle_gamma 90.00
_symmetry_space_group_name_H-M 'I 4/m m m'
_symmetry_Int_Tables_number 139
_symmetry_space_group_name_Hall '-I 4 2'
loop_
_atom_site_label
_atom_site_type_symbol
_atom_site_fract_x
_atom_site_fract_y
_atom_site_fract_z
_atom_site_occupancy
Al1 Al 0.000 0.500 0.250 1
In1 In 0.000 0.000 0.000 1
Cu1 Cu 0.000 0.000 0.392 1
```

=====

Entry 4:
The following is a GGA-PBE calculation of a geometry-optimized ZnCd6Au2 structure, from Alexandria.

Values from the calculation:
E_tot: -1.54 eV/atom

The structure in CIF format:
```
data_ZnCd6Au2
_chemical_formula_sum 'Zn2 Cd12 Au4'
_cell_length_a 9.717
_cell_length_b 4.358
_cell_length_c 8.905
_cell_angle_alpha 90.00
_cell_angle_beta 106.43
_cell_angle_gamma 90.00
_symmetry_space_group_name_H-M 'C 1 2/m 1'
_symmetry_Int_Tables_number 12
loop_
_symmetry_equiv_pos_as_xyz
'x,y,z'
'-x,-y,-z'
'-x,y,-z'
'x,-y,z'
'x+1/2,y+1/2,z'
'-x+1/2,-y+1/2,-z'
'-x+1/2,y+1/2,-z'
'x+1/2,-y+1/2,z'
loop_
_atom_site_label
_atom_site_type_symbol
_atom_site_fract_x
_atom_site_fract_y
_atom_site_fract_z
_atom_site_occupancy
Zn1 Zn 0.000 0.000 0.000 1
Cd1 Cd 0.002 0.000 0.676 1
Cd2 Cd 0.167 0.500 0.893 1
Cd3 Cd 0.169 0.500 0.556 1
Au1 Au 0.162 0.500 0.216 1
```

=====

Entry 5:
The following is a GGA-PBE calculation of a geometry-optimized Os3Pb structure, from Alexandria.

Values from the calculation:
E_tot: -8.53 eV/atom

The structure in CIF format:
```
data_Os3Pb
_chemical_formula_sum 'Os9 Pb3'
_cell_length_a 2.8615
_cell_length_b 2.8615
_cell_length_c 28.9201
_cell_angle_alpha 90.00
_cell_angle_beta 90.00
_cell_angle_gamma 120.00
_symmetry_space_group_name_H-M 'R -3 m'
_symmetry_Int_Tables_number 166
_symmetry_space_group_name_Hall '-R 3 2"'
loop_
_atom_site_label
_atom_site_type_symbol
_atom_site_fract_x
_atom_site_fract_y
_atom_site_fract_z
_atom_site_occupancy
Os1 Os 0.0000 0.0000 0.0000 1
Os2 Os 0.0000 0.0000 0.2604 1
Pb1 Pb 0.0000 0.0000 0.5000 1
```

=====

Entry 6:
The following is a GGA-PBE calculation of a geometry-optimized LaScInBi2 structure, from Alexandria.

Values from the calculation:
E_tot: -3.74 eV/atom

The structure in CIF format:
```
data_LaScInBi2
_chemical_formula_sum 'La1 Sc1 In1 Bi2'
_cell_length_a 6.043
_cell_length_b 6.043
_cell_length_c 5.888
_cell_angle_alpha 90.00
_cell_angle_beta 90.00
_cell_angle_gamma 90.00
_symmetry_space_group_name_H-M 'P 4/m m m'
_symmetry_Int_Tables_number 123
_symmetry_space_group_name_Hall '-P 4 2'
loop_
_atom_site_label
_atom_site_type_symbol
_atom_site_fract_x
_atom_site_fract_y
_atom_site_fract_z
_atom_site_occupancy
La1 La 0.000 0.000 0.000 1
Sc1 Sc 0.500 0.500 0.500 1
In1 In 0.000 0.000 0.500 1
Bi1 Bi 0.000 0.500 0.000 1
```

=====

Entry 7:
The following is a GGA-PBE calculation of a geometry-optimized LiPrCdPb structure, from Alexandria.

Values from the calculation:
E_tot: -3.21 eV/atom

The structure in CIF format:
```
data_LiPrCdPb
_chemical_formula_sum 'Li4 Pr4 Cd4 Pb4'
_cell_length_a 7.497
_cell_length_b 7.497
_cell_length_c 7.497
_cell_angle_alpha 90.00
_cell_angle_beta 90.00
_cell_angle_gamma 90.00
_symmetry_space_group_name_H-M 'F -4 3 m'
_symmetry_Int_Tables_number 216
_symmetry_space_group_name_Hall 'F -4 2 3'
loop_
_atom_site_label
_atom_site_type_symbol
_atom_site_fract_x
_atom_site_fract_y
_atom_site_fract_z
_atom_site_occupancy
Li1 Li 0.000 0.000 0.000 1
Pr1 Pr 0.000 0.000 0.500 1
Cd1 Cd 0.250 0.250 0.750 1
Pb1 Pb 0.250 0.250 0.250 1
```

=====

Entry 8:
The following is a GGA-PBE calculation of a geometry-optimized RbNa3Cd structure, from Alexandria.

Values from the calculation:
E_tot: -1.17 eV/atom
energy above the lowest structure with this stoichiometry: 0.0117 eV per atom

The structure in CIF format:
```
data_RbNa3Cd
_chemical_formula_sum 'Rb8 Na24 Cd8'
_cell_length_a 17.467
_cell_length_b 12.009
_cell_length_c 8.016
_cell_angle_alpha 90.00
_cell_angle_beta 103.56
_cell_angle_gamma 90.00
_symmetry_space_group_name_H-M 'C 1 2/c 1'
_symmetry_Int_Tables_number 15
loop_
_symmetry_equiv_pos_as_xyz
'x,y,z'
'-x,-y,-z'
'-x,y,-z+1/2'
'x,-y,z+1/2'
'x+1/2,y+1/2,z'
'-x+1/2,-y+1/2,-z'
'-x+1/2,y+1/2,-z+1/2'
'x+1/2,-y+1/2,z+1/2'
loop_
_atom_site_label
_atom_site_type_symbol
_atom_site_fract_x
_atom_site_fract_y
_atom_site_fract_z
_atom_site_occupancy
Rb1 Rb 0.000 0.035 0.250 1
Rb2 Rb 0.000 0.358 0.750 1
Na1 Na 0.182 0.498 0.592 1
Na2 Na 0.183 0.165 0.084 1
Na3 Na 0.191 0.168 0.599 1
Cd1 Cd 0.087 0.327 0.291 1
```

=====

What did the first record say?
The following is a GGA-PBE calculation of a geometry-optimized SrPm2Hg2 structure, from Alexandria.

Values from the calculation:
E_tot: -2.66 eV/atom

The structure in CIF format:
```
data_SrPm2Hg2
_chemical_formula_sum 'Sr2 Pm4 Hg4'
_cell_length_a 3.928
_cell_length_b 21.374
_cell_length_c 3.829
_cell_angle_alpha 90.00
_cell_angle_beta 90.00
_cell_angle_gamma 90.00
_symmetry_space_group_name_H-M 'C m m m'
_symmetry_Int_Tables_number 65
_symmetry_space_group_name_Hall '-C 2 2'
loop_
_atom_site_label
_atom_site_type_symbol
_atom_site_fract_x
_atom_site_fract_y
_atom_site_fract_z
_atom_site_occupancy
Sr1 Sr 0.000 0.000 0.000 1
Pm1 Pm 0.000 0.178 0.000 1
Hg1 Hg 0.000 0.398 0.500 1
```

=====

> Which of these has the highest E_tot?

RbNa3Cd

=====

> The lowest E_tot belongs to which entry?

Os3Pb

=====

> What is the formula in the third record?

Al2InCu2